Model 1:
A geometry-optimized Pm3Y3Sc structure. Source: the Alexandria database, functional PBE.

Summary:
- N(E_F) (states/eV per atom) = 1.454

abc: 6.228 6.228 14.379
angles: 77.49 77.49 60.00
Atoms (fractional coordinates):
Y1 0.132 0.465 0.603
Y2 0.535 0.200 0.397
Y3 0.465 0.800 0.603
Y4 0.800 0.132 0.603
Y5 0.868 0.535 0.397
Y6 0.200 0.868 0.397
Sc1 0.667 0.667 0.000
Sc2 0.333 0.333 0.000
Pm1 0.604 0.938 0.188
Pm2 0.396 0.062 0.812
Pm3 0.938 0.271 0.188
Pm4 0.271 0.604 0.188
Pm5 0.062 0.729 0.812
Pm6 0.729 0.396 0.812

Model 2:
A geometry-optimized Pm3Y3Sc structure. Source: the Alexandria database, functional PBE.

Summary:
- N(E_F) (states/eV per atom) = 2.081

abc: 5.685 9.585 9.585
angles: 120.00 90.00 90.00
Atoms (fractional coordinates):
Pm1 0.750 0.902 0.519
Pm2 0.250 0.383 0.902
Pm3 0.250 0.519 0.617
Pm4 0.250 0.098 0.481
Pm5 0.750 0.481 0.383
Pm6 0.750 0.617 0.098
Y1 0.250 0.811 0.052
Y2 0.750 0.052 0.241
Y3 0.250 0.948 0.759
Y4 0.750 0.759 0.811
Y5 0.250 0.241 0.189
Y6 0.750 0.189 0.948
Sc1 0.250 0.667 0.333
Sc2 0.750 0.333 0.667

Least stable: model 1

Model 1:
A geometry-optimized Pm7Y12Sc structure. Source: the Alexandria database, functional PBE.

Summary:
- N(E_F) (states/eV per atom) = 1.429

abc: 9.788 9.788 9.788
angles: 109.47 109.47 109.47
Atoms (fractional coordinates):
Sc1 0.000 0.000 0.000
Pm1 0.500 0.500 0.000
Pm2 0.500 0.000 0.000
Pm3 0.000 0.500 0.000
Pm4 0.000 0.000 0.500
Pm5 0.500 0.000 0.500
Pm6 0.500 0.500 0.500
Pm7 0.000 0.500 0.500
Y1 0.244 0.756 0.000
Y2 0.756 0.511 0.756
Y3 0.244 0.244 0.489
Y4 0.756 0.756 0.511
Y5 0.000 0.756 0.244
Y6 0.000 0.244 0.756
Y7 0.244 0.489 0.244
Y8 0.511 0.756 0.756
Y9 0.244 0.000 0.756
Y10 0.489 0.244 0.244
Y11 0.756 0.000 0.244
Y12 0.756 0.244 0.000

Model 2:
A geometry-optimized Pm7Y12Sc structure. Source: the Alexandria database, functional PBE.

Summary:
- N(E_F) (states/eV per atom) = 1.823

abc: 9.308 9.308 9.308
angles: 107.49 107.49 107.49
Atoms (fractional coordinates):
Sc1 0.000 0.000 0.000
Pm1 0.002 0.900 0.316
Pm2 0.684 0.998 0.100
Pm3 0.900 0.316 0.002
Pm4 0.100 0.684 0.998
Pm5 0.998 0.100 0.684
Pm6 0.316 0.002 0.900
Pm7 0.500 0.500 0.500
Y1 0.702 0.600 0.942
Y2 0.298 0.400 0.058
Y3 0.217 0.681 0.392
Y4 0.608 0.783 0.319
Y5 0.783 0.319 0.608
Y6 0.942 0.702 0.600
Y7 0.319 0.608 0.783
Y8 0.681 0.392 0.217
Y9 0.058 0.298 0.400
Y10 0.600 0.942 0.702
Y11 0.392 0.217 0.681
Y12 0.400 0.058 0.298

Least stable: model 1

Model 1:
A geometry-optimized PmY2Sc2 structure. Source: the Alexandria database, functional PBE.

Summary:
- N(E_F) (states/eV per atom) = 1.838

abc: 6.263 6.263 10.958
angles: 96.85 96.85 125.65
Atoms (fractional coordinates):
Y1 0.415 0.585 0.500
Y2 0.835 0.165 0.000
Y3 0.085 0.915 0.500
Y4 0.165 0.835 0.000
Sc1 0.125 0.375 0.750
Sc2 0.625 0.375 0.750
Sc3 0.625 0.875 0.250
Sc4 0.625 0.375 0.250
Pm1 0.500 0.500 0.000
Pm2 0.750 0.250 0.500

Model 2:
A geometry-optimized PmY2Sc2 structure. Source: the Alexandria database, functional PBE.

Summary:
- N(E_F) (states/eV per atom) = 1.827

abc: 5.476 6.771 9.206
angles: 111.58 107.30 90.00
Atoms (fractional coordinates):
Sc1 0.193 0.197 0.886
Sc2 0.807 0.311 0.114
Sc3 0.193 0.689 0.886
Sc4 0.807 0.803 0.114
Y1 0.377 0.627 0.254
Y2 0.623 0.373 0.746
Y3 0.004 0.754 0.509
Y4 0.996 0.246 0.491
Pm1 0.373 0.123 0.245
Pm2 0.627 0.877 0.755

Least stable: model 1

Model 1:
A geometry-optimized Pm7Y2Sc2 structure. Source: the Alexandria database, functional PBE.

Summary:
- N(E_F) (states/eV per atom) = 1.380

abc: 3.592 10.656 10.656
angles: 65.26 80.30 80.30
Atoms (fractional coordinates):
Sc1 0.319 0.273 0.090
Sc2 0.681 0.910 0.727
Pm1 0.873 0.991 0.263
Pm2 0.810 0.528 0.852
Pm3 0.500 0.062 0.938
Pm4 0.661 0.433 0.246
Pm5 0.190 0.148 0.472
Pm6 0.127 0.737 0.009
Pm7 0.339 0.754 0.567
Y1 0.500 0.377 0.623
Y2 0.000 0.640 0.360

Model 2:
A geometry-optimized Pm7Y2Sc2 structure. Source: the Alexandria database, functional PBE.

Summary:
- N(E_F) (states/eV per atom) = 1.380

abc: 6.089 7.950 7.950
angles: 93.12 75.54 75.54
Atoms (fractional coordinates):
Pm1 0.000 0.000 0.000
Pm2 0.810 0.418 0.943
Pm3 0.190 0.582 0.057
Pm4 0.795 0.422 0.422
Pm5 0.205 0.578 0.578
Pm6 0.810 0.943 0.418
Pm7 0.190 0.057 0.582
Y1 0.414 0.211 0.211
Y2 0.586 0.789 0.789
Sc1 0.500 0.226 0.774
Sc2 0.500 0.774 0.226

Least stable: model 1